Computed, not measured: a geometry-optimized HfZnNi structure at the PBE level of DFT.

```
HfZnNi
1.0
4.221 0.000 0.000
0.000 4.684 0.124
-2.110 -0.887 4.735
Hf Zn Ni
2 2 2
Cartesian
0.000 1.202 1.186 Hf
2.110 2.595 3.673 Hf
0.000 0.413 3.997 Zn
2.110 3.384 0.863 Zn
0.000 3.486 2.253 Ni
2.110 0.310 2.606 Ni
```

Properties
The space group is C2/m, No. 12. Its density of states at the Fermi level is 3.680 states/eV per cell.

Computed, not measured: a geometry-optimized Hf2ZnNi4 structure at the PBE level of DFT.

```
Hf2ZnNi4
1.0
3.994 0.788 -2.160
0.479 4.045 -2.158
-1.720 -1.854 8.704
Hf Zn Ni
2 1 4
Cartesian
2.747 2.967 -0.803 Hf
0.005 0.012 5.189 Hf
0.000 0.000 0.000 Zn
2.743 2.970 1.796 Ni
0.009 0.009 2.590 Ni
0.240 2.022 -1.079 Ni
1.997 0.394 -1.080 Ni
```

Properties
The space group is C2/m, No. 12. The distance to the lowest polymorph of the same formula is 0.0000 eV per atom. Its density of states at the Fermi level is 4.434 states/eV per cell.

Number 1: energy of formation from the pure elements -0.3258 eV per atom. Number 2: energy of formation from the pure elements -0.0991 eV per atom.